Compound: Ba4Ta3PbO12
Source: the Alexandria database
Functional: PBE-GGA
Structure: optimized geometry

- Formation energy without anion corrections: -2.65 eV per atom
- DOS(E_F): 6.07 states/eV/f.u.
- Symmetry: Im-3m
- Density: 7.9 g/cm3

```
Ba4Ta3PbO12
1.0
-4.2761 4.2761 4.2761
4.2761 -4.2761 4.2761
4.2761 4.2761 -4.2761
Ba Ta Pb O
4 3 1 12
direct
0.0000 0.0000 0.5000
0.0000 0.5000 0.0000
0.5000 0.0000 0.0000
0.5000 0.5000 0.5000
0.0000 0.5000 0.5000
0.5000 0.0000 0.5000
0.5000 0.5000 0.0000
0.0000 0.0000 0.0000
0.0000 0.2760 0.2760
0.0000 0.7240 0.7240
0.2500 0.5000 0.7500
0.2500 0.7500 0.5000
0.2760 0.0000 0.2760
0.2760 0.2760 0.0000
0.5000 0.2500 0.7500
0.5000 0.7500 0.2500
0.7240 0.0000 0.7240
0.7240 0.7240 0.0000
0.7500 0.2500 0.5000
0.7500 0.5000 0.2500
```